First-principles (PBE-GGA) data for CeSmDy2Bi4 after structural relaxation, as listed in Alexandria via LeMat-Bulk.

Computed properties:
Uncorrected energy in eV per atom: -5.2826
Energy relative to the elements in eV/atom: -0.860
Total magnetic moment in μB per cell: 0.798
Crystal system: monoclinic

Lattice parameters (Å, degrees): 7.8352 4.5341 7.8468 90.00 109.46 90.00
With the nearest neighbours (Å) after each atom.
Atoms (fractional coordinates):
Ce1 0.0000 0.0000 0.0000  6 Bi 3.23
Sm1 0.0000 0.5000 0.5000  6 Bi 3.22-3.23
Dy1 0.5000 0.0000 0.5000  6 Bi 3.18
Dy2 0.5000 0.5000 0.0000  6 Bi 3.18
Bi1 0.2556 0.0000 0.7517  3 Dy 3.18, 1 Ce 3.23, 2 Sm 3.23
Bi2 0.2562 0.5000 0.2526  3 Dy 3.18, 1 Sm 3.22, 2 Ce 3.23
Bi3 0.7444 0.0000 0.2483  3 Dy 3.18, 1 Ce 3.23, 2 Sm 3.23
Bi4 0.7438 0.5000 0.7474  3 Dy 3.18, 1 Sm 3.22, 2 Ce 3.23